No. 1
DFT (PBE-GGA) results for Ba2TbSb3Pt4 after structural relaxation.

Unit cell a=4.7503 b=4.7503 c=11.2405 alpha=90.00 beta=90.00 gamma=90.00
Fractional coordinates of all 10 atoms:
Pt1 0.0000 0.0000 0.0000
Pt2 0.0000 0.5000 0.3612
Pt3 0.5000 0.5000 0.0000
Pt4 0.5000 0.0000 0.6388
Sb1 0.0000 0.5000 0.1205
Sb2 0.0000 0.0000 0.5000
Sb3 0.5000 0.0000 0.8795
Ba1 0.5000 0.0000 0.2315
Ba2 0.0000 0.5000 0.7685
Tb1 0.5000 0.5000 0.5000

ΔE_f (raw)   -0.893 eV/atom

No. 2
DFT (PBE-GGA) results for BaSbTe2Pt after structural relaxation.

Unit cell a=5.7231 b=5.7231 c=5.0443 alpha=90.00 beta=90.00 gamma=90.00
Fractional coordinates of all 5 atoms:
Ba1 0.5000 0.5000 0.5000
Pt1 0.0000 0.0000 0.0000
Sb1 0.0000 0.0000 0.5000
Te1 0.0000 0.5000 0.0000
Te2 0.5000 0.0000 0.0000

Excess energy over the best structure of this formula in the dataset   0 meV per atom
ΔE_f (raw)   -0.551 eV/atom

No. 3
DFT (PBE-GGA) results for BaSbTe2Pt after structural relaxation.

Unit cell a=6.3306 b=6.3306 c=6.3719 alpha=90.00 beta=90.00 gamma=90.00
Site moments in Bohr magnetons follow the coordinates.
Fractional coordinates of all 5 atoms:
Te1 0.5000 0.0000 0.0000  0.05
Te2 0.0000 0.5000 0.0000  0.05
Sb1 0.0000 0.0000 0.5000  0.25
Pt1 0.5000 0.5000 0.5000  0.36
Ba1 0.0000 0.0000 0.0000  0.02

Excess energy over the best structure of this formula in the dataset   1847 meV per atom
ΔE_f (raw)   1.296 eV/atom

No. 4
DFT (PBE-GGA) results for BaThSb2Pt2 after structural relaxation.

Unit cell a=4.5755 b=4.5755 c=9.1127 alpha=90.00 beta=90.00 gamma=120.00
Fractional coordinates of all 6 atoms:
Th1 0.0000 0.0000 0.5000
Sb1 0.6667 0.3333 0.2576
Sb2 0.3333 0.6667 0.7424
Pt1 0.6667 0.3333 0.6894
Pt2 0.3333 0.6667 0.3106
Ba1 0.0000 0.0000 0.0000

ΔE_f (raw)   -1.086 eV/atom

No. 5
DFT (PBE-GGA) results for Ba2TlSb3Pt4 after structural relaxation.

Unit cell a=4.8306 b=4.8306 c=10.7632 alpha=90.00 beta=90.00 gamma=90.00
Fractional coordinates of all 10 atoms:
Sb1 0.0000 0.5000 0.1195
Sb2 0.0000 0.0000 0.5000
Sb3 0.5000 0.0000 0.8805
Ba1 0.0000 0.5000 0.7558
Ba2 0.5000 0.0000 0.2442
Pt1 0.5000 0.5000 0.0000
Pt2 0.5000 0.0000 0.6318
Pt3 0.0000 0.5000 0.3682
Pt4 0.0000 0.0000 0.0000
Tl1 0.5000 0.5000 0.5000

ΔE_f (raw)   -0.723 eV/atom

No. 6
DFT (PBE-GGA) results for Ba2TlSbPt after structural relaxation.

Unit cell a=6.0390 b=6.0390 c=5.2625 alpha=90.00 beta=90.00 gamma=90.00
Fractional coordinates of all 5 atoms:
Ba1 0.0000 0.5000 0.0000
Ba2 0.5000 0.0000 0.0000
Sb1 0.5000 0.5000 0.5000
Tl1 0.0000 0.0000 0.5000
Pt1 0.0000 0.0000 0.0000

ΔE_f (raw)   -0.639 eV/atom

No. 7
DFT (PBE-GGA) results for Ba2USb3Pt4 after structural relaxation.

Unit cell a=4.7225 b=4.7225 c=11.3943 alpha=90.00 beta=90.00 gamma=90.00
Site moments in Bohr magnetons follow the coordinates.
Fractional coordinates of all 10 atoms:
Sb1 0.0000 0.5000 0.1201  0.00
Sb2 0.5000 0.0000 0.8799  0.00
Sb3 0.0000 0.0000 0.5000  -0.02
Pt1 0.0000 0.5000 0.3596  -0.03
Pt2 0.0000 0.0000 0.0000  -0.01
Pt3 0.5000 0.5000 0.0000  0.00
Pt4 0.5000 0.0000 0.6404  -0.03
U1 0.5000 0.5000 0.5000  2.49
Ba1 0.5000 0.0000 0.2299  0.03
Ba2 0.0000 0.5000 0.7701  0.03

ΔE_f (raw)   -0.711 eV/atom

No. 8
DFT (PBE-GGA) results for Ba2YSb3Pt4 after structural relaxation.

Unit cell a=4.7442 b=4.7442 c=11.2627 alpha=90.00 beta=90.00 gamma=90.00
Fractional coordinates of all 10 atoms:
Sb1 0.0000 0.5000 0.1206
Sb2 0.5000 0.0000 0.8794
Sb3 0.0000 0.0000 0.5000
Pt1 0.0000 0.5000 0.3608
Pt2 0.0000 0.0000 0.0000
Pt3 0.5000 0.0000 0.6392
Pt4 0.5000 0.5000 0.0000
Ba1 0.5000 0.0000 0.2316
Ba2 0.0000 0.5000 0.7684
Y1 0.5000 0.5000 0.5000

ΔE_f (raw)   -0.889 eV/atom

No. 9
DFT (PBE-GGA) results for Ba2ZnSbPt after structural relaxation.

Unit cell a=6.0856 b=6.0856 c=4.8615 alpha=90.00 beta=90.00 gamma=90.00
Fractional coordinates of all 5 atoms:
Sb1 0.5000 0.5000 0.5000
Pt1 0.0000 0.0000 0.0000
Ba1 0.0000 0.5000 0.0000
Ba2 0.5000 0.0000 0.0000
Zn1 0.0000 0.0000 0.5000

ΔE_f (raw)   -0.648 eV/atom

No. 10
DFT (PBE-GGA) results for BaScPt after structural relaxation.

Unit cell a=4.9409 b=4.9409 c=4.9409 alpha=60.00 beta=60.00 gamma=60.00
Fractional coordinates of all 3 atoms:
Pt1 0.0000 0.0000 0.0000
Ba1 0.7500 0.7500 0.7500
Sc1 0.5000 0.5000 0.5000

Excess energy over the best structure of this formula in the dataset   1271 meV per atom
Formation energy from the elements   0.47 eV/atom

No. 11
DFT (PBE-GGA) results for Ba2ScPt after structural relaxation.

Unit cell a=11.9644 b=11.9644 c=8.8352 alpha=47.38 beta=47.38 gamma=90.00
Fractional coordinates of all 8 atoms:
Ba1 0.8750 0.0358 0.7500
Ba2 0.9642 0.6250 0.2500
Ba3 0.3750 0.2142 0.7500
Ba4 0.7858 0.1250 0.2500
Sc1 0.2500 0.7500 0.5000
Sc2 0.5000 0.5000 0.0000
Pt1 0.0000 0.0000 0.0000
Pt2 0.7500 0.2500 0.5000

Excess energy over the best structure of this formula in the dataset   141 meV per atom
Formation energy from the elements   -0.25 eV/atom

No. 12
DFT (PBE-GGA) results for BaSc2Pt after structural relaxation.

Unit cell a=8.3330 b=8.3330 c=8.3330 alpha=156.21 beta=149.10 gamma=39.37
Fractional coordinates of all 4 atoms:
Sc1 0.7402 0.2402 0.5000
Sc2 0.1012 0.1012 0.0000
Pt1 0.2321 0.7321 0.5000
Ba1 0.4265 0.4265 0.0000

Excess energy over the best structure of this formula in the dataset   132 meV per atom
Formation energy from the elements   -0.34 eV/atom

Number 1: M_tot 0.000 μB/atom. Number 2: M_tot 0.000 μB/atom. Number 3: M_tot 0.243 μB/atom. Number 4: M_tot 0.000 μB/atom. Number 5: M_tot 0.000 μB/atom. Number 6: M_tot 0.000 μB/atom. Number 7: M_tot 0.284 μB/atom. Number 8: M_tot 0.000 μB/atom. Number 9: M_tot 0.000 μB/atom. Number 10: M_tot 0.000 μB/atom. Number 11: M_tot 0.000 μB/atom. Number 12: M_tot 0.000 μB/atom.